NaIn2Hg | PBE | relaxed Values from VASP.

```
&SYSTEM
  ibrav = 0, nat = 16, ntyp = 3
/
ATOMIC_SPECIES
Na 22.99 Na.upf
In 114.82 In.upf
Hg 200.59 Hg.upf
ATOMIC_POSITIONS angstrom
Na 0.001 2.465 0.007
Na 6.470 7.396 6.468
Na 3.236 2.465 3.230
Na 3.235 7.396 3.244
In 1.370 9.860 1.868
In 1.370 4.932 1.868
In 1.866 0.001 5.106
In 1.866 4.930 5.106
In 4.605 9.860 1.369
In 4.605 4.932 1.369
In 5.101 0.001 4.607
In 5.101 4.930 4.607
Hg 0.003 2.465 3.245
Hg 3.232 7.396 0.007
Hg 3.239 2.465 6.467
Hg 6.468 7.396 3.230
CELL_PARAMETERS angstrom
6.471 0.000 0.000
0.000 9.861 0.000
0.000 0.000 6.475
```

The density comes out at 7286 kg/m3. The density of states at the Fermi level comes out at 8.54 states/eV per cell. For the total magnetization, the calculation gives 0.00 μB per formula unit. Its energy of formation is -0.1145 eV per atom.

Na2In3Hg | PBE | relaxed Values from VASP.

```
&SYSTEM
  ibrav = 0, nat = 6, ntyp = 3
/
ATOMIC_SPECIES
Na 22.99 Na.upf
In 114.82 In.upf
Hg 200.59 Hg.upf
ATOMIC_POSITIONS angstrom
Na 0.000 0.000 0.000
Na 0.000 2.597 4.254
In 1.740 0.000 5.766
In 1.740 2.597 1.414
In 1.740 2.597 7.215
Hg 1.740 0.000 2.830
CELL_PARAMETERS angstrom
3.479 0.000 0.000
0.000 5.194 0.000
0.000 0.000 8.763
```

The density comes out at 6198 kg/m3. The density of states at the Fermi level comes out at 2.75 states/eV per cell. For the total magnetization, the calculation gives 0.00 μB per formula unit. Its energy of formation is -0.1473 eV per atom.